No. 1
Computed, not measured: a geometry-optimized CaCl3 structure at the PBE level of DFT.

a = 4.5047 Å, b = 4.5047 Å, c = 4.5047 Å
α = 90.00°, β = 90.00°, γ = 90.00°
Fractional positions:
Ca (0.0000, 0.0000, 0.0000)
Cl (0.0000, 0.5000, 0.5000)
Cl (0.5000, 0.0000, 0.5000)
Cl (0.5000, 0.5000, 0.0000)

Properties
Raw formation energy: -1.2867 eV per atom
Total DFT energy (no corrections): -3.17 eV per atom

No. 2
Computed, not measured: a geometry-optimized Ca2Cl structure at the PBE level of DFT.

a = 9.5280 Å, b = 9.5280 Å, c = 3.7958 Å
α = 90.00°, β = 90.00°, γ = 120.00°
Fractional positions:
Ca (0.0000, 0.2361, 0.0000)
Ca (0.0000, 0.5748, 0.5000)
Ca (0.2361, 0.0000, 0.0000)
Ca (0.4252, 0.4252, 0.5000)
Ca (0.5748, 0.0000, 0.5000)
Ca (0.7639, 0.7639, 0.0000)
Cl (0.0000, 0.0000, 0.5000)
Cl (0.3333, 0.6667, 0.0000)
Cl (0.6667, 0.3333, 0.0000)

Properties
Raw formation energy: -0.7713 eV per atom
Total DFT energy (no corrections): -2.72 eV per atom
Distance to the lowest polymorph of the same formula: 274 meV per atom

No. 3
Computed, not measured: a geometry-optimized CaCl5 structure at the PBE level of DFT.

a = 5.1692 Å, b = 5.1692 Å, c = 8.0803 Å
α = 90.00°, β = 90.00°, γ = 120.00°
Fractional positions:
Ca (0.0000, 0.0000, 0.0000)
Cl (0.0000, 0.5000, 0.5000)
Cl (0.3333, 0.6667, 0.0000)
Cl (0.5000, 0.0000, 0.5000)
Cl (0.5000, 0.5000, 0.5000)
Cl (0.6667, 0.3333, 0.0000)

Properties
Raw formation energy: -0.7323 eV per atom
Total DFT energy (no corrections): -2.60 eV per atom
Distance to the lowest polymorph of the same formula: 312 meV per atom

No. 4
Computed, not measured: a geometry-optimized CaCl3 structure at the PBE level of DFT.

a = 7.5763 Å, b = 16.4808 Å, c = 3.8883 Å
α = 90.00°, β = 90.00°, γ = 90.00°
Fractional positions:
Ca (0.0000, 0.1317, 0.2500)
Ca (0.0000, 0.8683, 0.7500)
Ca (0.5000, 0.3683, 0.7500)
Ca (0.5000, 0.6317, 0.2500)
Cl (0.0000, 0.2487, 0.7500)
Cl (0.0000, 0.7513, 0.2500)
Cl (0.2359, 0.0791, 0.7500)
Cl (0.2359, 0.9209, 0.2500)
Cl (0.2641, 0.4209, 0.2500)
Cl (0.2641, 0.5791, 0.7500)
Cl (0.5000, 0.2513, 0.2500)
Cl (0.5000, 0.7487, 0.7500)
Cl (0.7359, 0.4209, 0.2500)
Cl (0.7359, 0.5791, 0.7500)
Cl (0.7641, 0.0791, 0.7500)
Cl (0.7641, 0.9209, 0.2500)

Properties
Raw formation energy: -1.4829 eV per atom
Total DFT energy (no corrections): -3.37 eV per atom

No. 5
Computed, not measured: a geometry-optimized CaCl structure at the PBE level of DFT.

a = 7.9526 Å, b = 7.9551 Å, c = 7.9971 Å
α = 90.00°, β = 90.00°, γ = 90.00°
Fractional positions:
Ca (0.1125, 0.1738, 0.3129)
Ca (0.1502, 0.4102, 0.8817)
Ca (0.3498, 0.5898, 0.3817)
Ca (0.3875, 0.8262, 0.8129)
Ca (0.6125, 0.3262, 0.6871)
Ca (0.6502, 0.0898, 0.1183)
Ca (0.8498, 0.9102, 0.6183)
Ca (0.8875, 0.6738, 0.1871)
Cl (0.0300, 0.7403, 0.8706)
Cl (0.2252, 0.8922, 0.5063)
Cl (0.2748, 0.1078, 0.0063)
Cl (0.4700, 0.2597, 0.3706)
Cl (0.5300, 0.7597, 0.1294)
Cl (0.7252, 0.6078, 0.4937)
Cl (0.7748, 0.3922, 0.9937)
Cl (0.9700, 0.2403, 0.6294)

Properties
Raw formation energy: -1.6110 eV per atom
Total DFT energy (no corrections): -3.54 eV per atom

No. 6
Computed, not measured: a geometry-optimized CaCl5 structure at the PBE level of DFT.

a = 3.4980 Å, b = 3.4980 Å, c = 13.5080 Å
α = 90.00°, β = 90.00°, γ = 90.00°
Fractional positions:
Ca (0.0000, 0.0000, 0.0000)
Cl (0.0000, 0.0000, 0.3705)
Cl (0.0000, 0.0000, 0.6295)
Cl (0.5000, 0.5000, 0.1153)
Cl (0.5000, 0.5000, 0.5000)
Cl (0.5000, 0.5000, 0.8847)

Properties
Raw formation energy: -0.6289 eV per atom
Total DFT energy (no corrections): -2.50 eV per atom
Distance to the lowest polymorph of the same formula: 415 meV per atom

No. 7
Computed, not measured: a geometry-optimized CaCl3 structure at the PBE level of DFT.

a = 8.9084 Å, b = 8.9084 Å, c = 5.2820 Å
α = 90.00°, β = 90.00°, γ = 90.00°
Fractional positions:
Ca (0.0000, 0.0000, 0.0000)
Ca (0.0000, 0.5000, 0.2500)
Ca (0.5000, 0.0000, 0.7500)
Ca (0.5000, 0.5000, 0.5000)
Cl (0.0000, 0.0000, 0.5000)
Cl (0.0000, 0.5000, 0.7500)
Cl (0.2110, 0.2500, 0.1250)
Cl (0.2500, 0.7110, 0.3750)
Cl (0.2500, 0.7890, 0.8750)
Cl (0.2890, 0.2500, 0.6250)
Cl (0.5000, 0.0000, 0.2500)
Cl (0.5000, 0.5000, 0.0000)
Cl (0.7110, 0.7500, 0.6250)
Cl (0.7500, 0.2110, 0.8750)
Cl (0.7500, 0.2890, 0.3750)
Cl (0.7890, 0.7500, 0.1250)

Properties
Raw formation energy: -1.4851 eV per atom
Total DFT energy (no corrections): -3.37 eV per atom

No. 8
Computed, not measured: a geometry-optimized CaCl5 structure at the PBE level of DFT.

a = 9.2334 Å, b = 4.1703 Å, c = 11.4083 Å
α = 90.00°, β = 113.32°, γ = 90.00°
Fractional positions:
Ca (0.0000, 0.0000, 0.0000)
Ca (0.5000, 0.5000, 0.0000)
Cl (0.0476, 0.0000, 0.5761)
Cl (0.1705, 0.0000, 0.4623)
Cl (0.2071, 0.0000, 0.2536)
Cl (0.3350, 0.0000, 0.0642)
Cl (0.4987, 0.0000, 0.8511)
Cl (0.5476, 0.5000, 0.5761)
Cl (0.6705, 0.5000, 0.4623)
Cl (0.7071, 0.5000, 0.2536)
Cl (0.8350, 0.5000, 0.0642)
Cl (0.9987, 0.5000, 0.8511)

Properties
Raw formation energy: -1.0203 eV per atom
Total DFT energy (no corrections): -2.89 eV per atom
Distance to the lowest polymorph of the same formula: 24 meV per atom

No. 9
Computed, not measured: a geometry-optimized CaCl structure at the PBE level of DFT.

a = 11.3902 Å, b = 11.3902 Å, c = 4.1044 Å
α = 90.00°, β = 90.00°, γ = 90.00°
Fractional positions:
Ca (0.1014, 0.3360, 0.0000)
Ca (0.1640, 0.6014, 0.5000)
Ca (0.3360, 0.8986, 0.0000)
Ca (0.3986, 0.1640, 0.5000)
Ca (0.6014, 0.8360, 0.5000)
Ca (0.6640, 0.1014, 0.0000)
Ca (0.8360, 0.3986, 0.5000)
Ca (0.8986, 0.6640, 0.0000)
Cl (0.1183, 0.7800, 0.0000)
Cl (0.2200, 0.1183, 0.0000)
Cl (0.2800, 0.3817, 0.5000)
Cl (0.3817, 0.7200, 0.5000)
Cl (0.6183, 0.2800, 0.5000)
Cl (0.7200, 0.6183, 0.5000)
Cl (0.7800, 0.8817, 0.0000)
Cl (0.8817, 0.2200, 0.0000)

Properties
Raw formation energy: -1.5938 eV per atom
Total DFT energy (no corrections): -3.52 eV per atom

No. 10
Computed, not measured: a geometry-optimized Ca3Cl2 structure at the PBE level of DFT.

a = 7.6721 Å, b = 7.1738 Å, c = 8.6921 Å
α = 56.87°, β = 51.54°, γ = 71.59°
Fractional positions:
Ca (0.0000, 0.0000, 0.0000)
Ca (0.1783, 0.5637, 0.7759)
Ca (0.2500, 0.2500, 0.2500)
Ca (0.4741, 0.7678, 0.0717)
Ca (0.5637, 0.1783, 0.4822)
Ca (0.7678, 0.4741, 0.6863)
Cl (0.4893, 0.8761, 0.3399)
Cl (0.8761, 0.4893, 0.2947)
Cl (0.9101, 0.9553, 0.7607)
Cl (0.9553, 0.9101, 0.3739)

Properties
Raw formation energy: -1.2383 eV per atom
Total DFT energy (no corrections): -3.18 eV per atom

No. 11
Computed, not measured: a geometry-optimized Ca2CoCl structure at the PBE level of DFT.

a = 3.5607 Å, b = 3.5607 Å, c = 9.4570 Å
α = 90.00°, β = 90.00°, γ = 90.00°
Fractional positions:
Ca (0.0000, 0.0000, 0.0000)
Ca (0.5000, 0.5000, 0.3412)
Co (0.5000, 0.5000, 0.8368)
Cl (0.0000, 0.0000, 0.4808)

Properties
Raw formation energy: -0.1945 eV per atom
Total DFT energy (no corrections): -3.43 eV per atom
Distance to the lowest polymorph of the same formula: 399 meV per atom

No. 12
Computed, not measured: a geometry-optimized Ca2CoCl structure at the PBE level of DFT.

a = 7.1445 Å, b = 7.1445 Å, c = 7.1445 Å
α = 90.00°, β = 90.00°, γ = 90.00°
Fractional positions:
Ca (0.2500, 0.2500, 0.2500)
Ca (0.2500, 0.2500, 0.7500)
Ca (0.2500, 0.7500, 0.2500)
Ca (0.2500, 0.7500, 0.7500)
Ca (0.7500, 0.2500, 0.2500)
Ca (0.7500, 0.2500, 0.7500)
Ca (0.7500, 0.7500, 0.2500)
Ca (0.7500, 0.7500, 0.7500)
Co (0.0000, 0.0000, 0.0000)
Co (0.0000, 0.5000, 0.5000)
Co (0.5000, 0.0000, 0.5000)
Co (0.5000, 0.5000, 0.0000)
Cl (0.0000, 0.0000, 0.5000)
Cl (0.0000, 0.5000, 0.0000)
Cl (0.5000, 0.0000, 0.0000)
Cl (0.5000, 0.5000, 0.5000)

Properties
Raw formation energy: -0.2392 eV per atom
Total DFT energy (no corrections): -3.48 eV per atom
Distance to the lowest polymorph of the same formula: 354 meV per atom

No. 13
Computed, not measured: a geometry-optimized Ca2CoCl structure at the PBE level of DFT.

a = 4.7187 Å, b = 3.4943 Å, c = 10.7848 Å
α = 90.00°, β = 90.00°, γ = 90.00°
Fractional positions:
Ca (0.0000, 0.0000, 0.0000)
Ca (0.0000, 0.5000, 0.5000)
Ca (0.5000, 0.0000, 0.2698)
Ca (0.5000, 0.5000, 0.7698)
Co (0.0000, 0.0000, 0.7477)
Co (0.0000, 0.5000, 0.2477)
Cl (0.5000, 0.0000, 0.5365)
Cl (0.5000, 0.5000, 0.0365)

Properties
Raw formation energy: -0.4658 eV per atom
Total DFT energy (no corrections): -3.70 eV per atom
Distance to the lowest polymorph of the same formula: 127 meV per atom

No. 14
Computed, not measured: a geometry-optimized Ca2CoCl structure at the PBE level of DFT.

a = 3.8870 Å, b = 6.5370 Å, c = 8.4124 Å
α = 90.00°, β = 90.00°, γ = 90.00°
Fractional positions:
Ca (0.0000, 0.0000, 0.2399)
Ca (0.0000, 0.0000, 0.7601)
Ca (0.5000, 0.5000, 0.2601)
Ca (0.5000, 0.5000, 0.7399)
Co (0.0000, 0.5000, 0.0000)
Co (0.5000, 0.0000, 0.5000)
Cl (0.0000, 0.5000, 0.5000)
Cl (0.5000, 0.0000, 0.0000)

Properties
Raw formation energy: -0.2345 eV per atom
Total DFT energy (no corrections): -3.47 eV per atom
Distance to the lowest polymorph of the same formula: 359 meV per atom

No. 15
Computed, not measured: a geometry-optimized Ca2CoCl structure at the PBE level of DFT.

a = 3.4006 Å, b = 3.4006 Å, c = 7.5514 Å
α = 90.00°, β = 90.00°, γ = 90.00°
Fractional positions:
Ca (0.0000, 0.0000, 0.2205)
Ca (0.0000, 0.0000, 0.7795)
Co (0.5000, 0.5000, 0.0000)
Cl (0.5000, 0.5000, 0.5000)

Properties
Raw formation energy: -0.5931 eV per atom
Total DFT energy (no corrections): -3.83 eV per atom
Distance to the lowest polymorph of the same formula: 0 meV per atom

No. 16
Computed, not measured: a geometry-optimized CaCo3Cl structure at the PBE level of DFT.

a = 4.8238 Å, b = 4.8238 Å, c = 4.8238 Å
α = 90.00°, β = 90.00°, γ = 90.00°
Fractional positions:
Ca (0.0000, 0.0000, 0.0000)
Co (0.0000, 0.0000, 0.5000)
Co (0.0000, 0.5000, 0.0000)
Co (0.5000, 0.0000, 0.0000)
Cl (0.5000, 0.5000, 0.5000)

Properties
Raw formation energy: 1.9019 eV per atom
Total DFT energy (no corrections): -3.13 eV per atom
Distance to the lowest polymorph of the same formula: 1386 meV per atom

No. 17
Computed, not measured: a geometry-optimized Ca2CoCl6 structure at the PBE level of DFT.

a = 7.2137 Å, b = 7.2137 Å, c = 11.1214 Å
α = 118.90°, β = 118.90°, γ = 30.96°
Fractional positions:
Ca (0.1905, 0.1905, 0.3059)
Ca (0.8095, 0.8095, 0.6941)
Co (0.5000, 0.5000, 0.0000)
Cl (0.1585, 0.1585, 0.5351)
Cl (0.3170, 0.3170, 0.8964)
Cl (0.4859, 0.4859, 0.7925)
Cl (0.5141, 0.5141, 0.2075)
Cl (0.6830, 0.6830, 0.1036)
Cl (0.8415, 0.8415, 0.4649)

Properties
Raw formation energy: -1.6748 eV per atom
Total DFT energy (no corrections): -4.14 eV per atom
Distance to the lowest polymorph of the same formula: 62 meV per atom

No. 18
Computed, not measured: a geometry-optimized Ca3CoCl8 structure at the PBE level of DFT.

a = 7.9216 Å, b = 7.9216 Å, c = 7.9817 Å
α = 119.82°, β = 119.82°, γ = 60.46°
Fractional positions:
Ca (0.0000, 0.0000, 0.0000)
Ca (0.0000, 0.5000, 0.5000)
Ca (0.5000, 0.0000, 0.5000)
Co (0.5000, 0.5000, 0.0000)
Cl (0.2421, 0.2421, 0.2615)
Cl (0.2672, 0.7237, 0.7797)
Cl (0.2763, 0.7328, 0.2203)
Cl (0.2766, 0.2766, 0.7644)
Cl (0.7234, 0.7234, 0.2356)
Cl (0.7237, 0.2672, 0.7797)
Cl (0.7328, 0.2763, 0.2203)
Cl (0.7579, 0.7579, 0.7385)

Properties
Raw formation energy: -1.8929 eV per atom
Total DFT energy (no corrections): -4.22 eV per atom

No. 19
Computed, not measured: a geometry-optimized Ca2CoCl structure at the PBE level of DFT.

a = 7.0897 Å, b = 7.0897 Å, c = 7.0897 Å
α = 90.00°, β = 90.00°, γ = 90.00°
Fractional positions:
Ca (0.0000, 0.0000, 0.0000)
Ca (0.0000, 0.5000, 0.5000)
Ca (0.2500, 0.2500, 0.2500)
Ca (0.2500, 0.7500, 0.7500)
Ca (0.5000, 0.0000, 0.5000)
Ca (0.5000, 0.5000, 0.0000)
Ca (0.7500, 0.2500, 0.7500)
Ca (0.7500, 0.7500, 0.2500)
Co (0.2500, 0.2500, 0.7500)
Co (0.2500, 0.7500, 0.2500)
Co (0.7500, 0.2500, 0.2500)
Co (0.7500, 0.7500, 0.7500)
Cl (0.0000, 0.0000, 0.5000)
Cl (0.0000, 0.5000, 0.0000)
Cl (0.5000, 0.0000, 0.0000)
Cl (0.5000, 0.5000, 0.5000)

Properties
Raw formation energy: 0.2526 eV per atom
Total DFT energy (no corrections): -2.99 eV per atom
Distance to the lowest polymorph of the same formula: 846 meV per atom

No. 20
Computed, not measured: a geometry-optimized Ca2CoCl6 structure at the PBE level of DFT.

a = 6.4262 Å, b = 6.9886 Å, c = 11.2189 Å
α = 90.00°, β = 121.14°, γ = 90.00°
Fractional positions:
Ca (0.1861, 0.1019, 0.2362)
Ca (0.1861, 0.3981, 0.7362)
Ca (0.8139, 0.6019, 0.2638)
Ca (0.8139, 0.8981, 0.7638)
Co (0.5000, 0.0000, 0.0000)
Co (0.5000, 0.5000, 0.5000)
Cl (0.1340, 0.1798, 0.9413)
Cl (0.1340, 0.3202, 0.4413)
Cl (0.2555, 0.6973, 0.9219)
Cl (0.2555, 0.8027, 0.4219)
Cl (0.4158, 0.0515, 0.7671)
Cl (0.4158, 0.4485, 0.2671)
Cl (0.5842, 0.5515, 0.7329)
Cl (0.5842, 0.9485, 0.2329)
Cl (0.7445, 0.1973, 0.5781)
Cl (0.7445, 0.3027, 0.0781)
Cl (0.8660, 0.6798, 0.5587)
Cl (0.8660, 0.8202, 0.0587)

Properties
Raw formation energy: -1.7372 eV per atom
Total DFT energy (no corrections): -4.20 eV per atom
Distance to the lowest polymorph of the same formula: 0 meV per atom